Entry 1:
Material: Sm8Dy4Tm
Method: DFT, GGA-PBE
State: relaxed

The value obtained for the size of the total moment is 0.0 μB per cell. The value obtained for the calculated volume is 476.97 Å³/f.u. For the formation energy, the calculation gives 0.4779 eV per atom.

The space group is R-3m (No. 166, hexagonal axes) and the conventional cell measures 11.0584, 11.0584 and 13.5114 Å, with angles of 90.00, 90.00 and 120.00 degrees. The inequivalent atoms are Sm at (0.0000, 0.0000, 0.2407), Sm at (0.0121, 0.5061, 0.7466), Dy at (0.0000, 0.0000, 0.0000), Dy at (0.0000, 0.5000, 0.0000) and Tm at (0.0000, 0.0000, 0.5000).



Entry 2:
Material: Sm4Dy5Tm
Method: DFT, GGA-PBE
State: relaxed

The value obtained for the size of the total moment is 0.0 μB per cell. The value obtained for the calculated volume is 335.94 Å³/f.u. The energy relative to the lowest polymorph listed for this composition comes out at 0 meV/atom. For the formation energy, the calculation gives 0.1855 eV per atom.

The space group is C2/m (No. 12) and the conventional cell measures 17.1753, 3.5275 and 11.0898 Å, with angles of 90.00, 90.10 and 90.00 degrees. The inequivalent atoms are Sm at (0.0295, 0.0000, 0.2491), Sm at (0.1546, 0.5000, 0.7497), Dy at (0.0000, 0.5000, 0.5000), Dy at (0.1732, 0.0000, 0.0519), Dy at (0.1739, 0.0000, 0.4461) and Tm at (0.0000, 0.5000, 0.0000).



Entry 3:
Material: SmDy6Tm
Method: DFT, GGA-PBE
State: relaxed

The value obtained for the size of the total moment is 0.0 μB per cell. The value obtained for the calculated volume is 256.14 Å³/f.u. The energy relative to the lowest polymorph listed for this composition comes out at 183 meV/atom. For the formation energy, the calculation gives 0.2056 eV per atom.

The space group is P-1 (No. 2) and the conventional cell measures 6.5264, 6.7147 and 6.9058 Å, with angles of 118.50, 103.59 and 90.16 degrees. The inequivalent atoms are Sm at (0.0000, 0.0000, 0.0000), Dy at (0.2318, 0.5771, 0.4830), Dy at (0.2523, 0.5483, 0.0022), Dy at (0.2721, 0.0961, 0.5266) and Tm at (0.5000, 0.0000, 0.0000).